# 1
Ho3Mg3Tl2Hg after structural relaxation, computed with PBE.

Calculated values
energy of formation	-0.36	eV per atom
space group	P-62m
VASP energy	-2.977	eV/atom

Unit cell a=7.532 b=7.532 c=4.570 alpha=90.00 beta=90.00 gamma=120.00
Element x y z (fractional)
Ho1 0.000 0.421 0.000
Ho2 0.421 0.000 0.000
Ho3 0.579 0.579 0.000
Mg1 0.000 0.761 0.500
Mg2 0.239 0.239 0.500
Mg3 0.761 0.000 0.500
Tl1 0.333 0.667 0.500
Tl2 0.667 0.333 0.500
Hg1 0.000 0.000 0.000



# 2
ZnTeNO2 after structural relaxation, computed with PBE.

Calculated values
formation energy (no corrections)	205	kJ/mol of formula units
space group	P4/mmm
VASP energy	-4.107	eV/atom

Unit cell a=3.817 b=3.817 c=4.039 alpha=90.00 beta=90.00 gamma=90.00
Element x y z (fractional)
Zn1 0.000 0.000 0.000
Te1 0.500 0.500 0.500
N1 0.000 0.000 0.500
O1 0.000 0.500 0.000
O2 0.500 0.000 0.000



# 3
Ba2CaReC after structural relaxation, computed with PBE.

Calculated values
energy of formation	1.98	eV per atom
space group	P4/mmm
VASP energy	-3.526	eV/atom

Unit cell a=6.442 b=6.442 c=4.140 alpha=90.00 beta=90.00 gamma=90.00
Element x y z (fractional)
Ba1 0.000 0.500 0.000
Ba2 0.500 0.000 0.000
Ca1 0.000 0.000 0.000
Re1 0.500 0.500 0.500
C1 0.000 0.000 0.500



# 4
RbCO2F after structural relaxation, computed with PBE.

Calculated values
formation energy (no corrections)	988	kJ/mol of formula units
space group	P4/mmm
VASP energy	-2.347	eV/atom

Unit cell a=4.398 b=4.398 c=4.892 alpha=90.00 beta=90.00 gamma=90.00
Element x y z (fractional)
Rb1 0.000 0.000 0.000
C1 0.500 0.500 0.500
O1 0.000 0.500 0.000
O2 0.500 0.000 0.000
F1 0.000 0.000 0.500